1.
Computed, not measured: crystalline LaYNiI at its relaxed geometry at the PBE level of DFT.

Lattice parameters (Å, degrees): 4.094 4.094 8.399 90.00 104.10 119.99
Element x y z (fractional)
La 0.516 0.156 0.687
Y 0.094 0.945 0.054
Ni 0.308 0.552 0.875
I 0.960 0.378 0.354

Calculated values
- energy relative to the elements, uncorrected (eV per atom) = -0.688
- electronic total energy (Ry per atom) = -0.395
- DOS(E_F) (states/eV per atom) = 1.04
- mass density (kg/m3) = 5867

---

2.
Computed, not measured: crystalline La4ZnNiI2 at its relaxed geometry at the PBE level of DFT.

Lattice parameters (Å, degrees): 4.284 7.532 8.392 106.44 90.00 90.00
Element x y z (fractional)
La 0.500 0.224 0.196
La 0.500 0.776 0.804
La 0.000 0.238 0.795
La 0.000 0.762 0.205
Zn 0.500 0.500 0.000
Ni 0.000 0.000 0.000
I 0.500 0.000 0.500
I 0.000 0.500 0.500

Calculated values
- energy relative to the elements, uncorrected (eV per atom) = -0.643
- electronic total energy (Ry per atom) = -0.322
- DOS(E_F) (states/eV per atom) = 1.20
- mass density (kg/m3) = 5968

---

3.
Computed, not measured: crystalline LaNpI6 at its relaxed geometry at the PBE level of DFT.

Lattice parameters (Å, degrees): 8.129 8.129 7.750 98.30 98.30 122.58
Each line ends with the local moment (μB).
Element x y z (fractional)
La 0.500 0.500 0.500  0.02
Np 0.000 0.000 0.000  3.98
I 0.602 0.905 0.756  -0.02
I 0.905 0.602 0.756  -0.02
I 0.095 0.398 0.244  -0.02
I 0.398 0.095 0.244  -0.02
I 0.247 0.247 0.752  -0.02
I 0.753 0.753 0.248  -0.02

Calculated values
- energy relative to the elements, uncorrected (eV per atom) = -1.155
- electronic total energy (Ry per atom) = -0.335
- DOS(E_F) (states/eV per atom) = 0.43
- mass density (kg/m3) = 4589

---

4.
Computed, not measured: crystalline LaI3O at its relaxed geometry at the PBE level of DFT.

Lattice parameters (Å, degrees): 6.278 6.278 6.278 90.00 90.00 90.00
Element x y z (fractional)
I 0.000 0.500 0.000
I 0.000 0.000 0.500
I 0.500 0.000 0.000
O 0.500 0.500 0.500
La 0.000 0.000 0.000

Calculated values
- energy relative to the elements, uncorrected (eV per atom) = -0.256
- electronic total energy (Ry per atom) = -0.232
- DOS(E_F) (states/eV per atom) = 5.14
- distance to the lowest polymorph of the same formula (meV/atom) = 96.4
- mass density (kg/m3) = 3595

---

5.
Computed, not measured: crystalline LaI2O6 at its relaxed geometry at the PBE level of DFT.

Lattice parameters (Å, degrees): 4.446 8.551 8.551 111.11 86.74 86.74
Element x y z (fractional)
La 0.250 0.132 0.868
La 0.750 0.868 0.132
I 0.297 0.563 0.778
I 0.203 0.222 0.437
I 0.703 0.437 0.222
I 0.797 0.778 0.563
O 0.382 0.763 0.612
O 0.118 0.388 0.237
O 0.618 0.237 0.388
O 0.882 0.612 0.763
O 0.764 0.884 0.411
O 0.736 0.589 0.116
O 0.236 0.116 0.589
O 0.264 0.411 0.884
O 0.278 0.774 0.974
O 0.222 0.026 0.226
O 0.722 0.226 0.026
O 0.778 0.974 0.774

Calculated values
- energy relative to the elements, uncorrected (eV per atom) = -1.066
- electronic total energy (Ry per atom) = -0.387
- DOS(E_F) (states/eV per atom) = 0.27
- distance to the lowest polymorph of the same formula (meV/atom) = 0.0
- mass density (kg/m3) = 5379

---

6.
Computed, not measured: crystalline LaI3O9 at its relaxed geometry at the PBE level of DFT.

Lattice parameters (Å, degrees): 8.659 7.061 7.000 90.00 90.00 90.00
Element x y z (fractional)
La 0.500 0.000 0.492
La 0.000 0.500 0.508
I 0.000 0.780 0.968
I 0.000 0.220 0.968
I 0.500 0.720 0.032
I 0.500 0.280 0.032
I 0.500 0.500 0.475
I 0.000 0.000 0.525
O 0.857 0.811 0.623
O 0.857 0.189 0.623
O 0.143 0.811 0.623
O 0.143 0.189 0.623
O 0.643 0.689 0.377
O 0.643 0.311 0.377
O 0.357 0.689 0.377
O 0.357 0.311 0.377
O 0.500 0.000 0.138
O 0.000 0.500 0.862
O 0.150 0.000 0.029
O 0.850 0.000 0.029
O 0.350 0.500 0.971
O 0.650 0.500 0.971
O 0.500 0.798 0.784
O 0.500 0.202 0.784
O 0.000 0.702 0.216
O 0.000 0.298 0.216

Calculated values
- energy relative to the elements, uncorrected (eV per atom) = -0.628
- electronic total energy (Ry per atom) = -0.353
- DOS(E_F) (states/eV per atom) = 0.15
- distance to the lowest polymorph of the same formula (meV/atom) = 372.7
- mass density (kg/m3) = 5149

---

7.
Computed, not measured: crystalline La2IO2 at its relaxed geometry at the PBE level of DFT.

Lattice parameters (Å, degrees): 4.264 4.264 7.060 72.42 72.42 90.00
Each line ends with the local moment (μB).
Element x y z (fractional)
I 0.000 0.000 0.000  0.01
O 0.750 0.250 0.500  0.01
O 0.250 0.750 0.500  0.01
La 0.339 0.339 0.322  0.20
La 0.661 0.661 0.678  0.20

Calculated values
- energy relative to the elements, uncorrected (eV per atom) = -2.782
- electronic total energy (Ry per atom) = -0.518
- DOS(E_F) (states/eV per atom) = 0.08
- distance to the lowest polymorph of the same formula (meV/atom) = 0.0
- mass density (kg/m3) = 6248

---

8.
Computed, not measured: crystalline LaI2O6 at its relaxed geometry at the PBE level of DFT.

Lattice parameters (Å, degrees): 8.061 7.522 7.522 98.44 66.42 66.42
Element x y z (fractional)
La 0.250 0.087 0.913
La 0.750 0.913 0.087
I 0.314 0.544 0.729
I 0.186 0.271 0.456
I 0.686 0.456 0.271
I 0.814 0.729 0.544
O 0.554 0.738 0.587
O 0.946 0.413 0.262
O 0.446 0.262 0.413
O 0.054 0.587 0.738
O 0.797 0.887 0.379
O 0.703 0.621 0.113
O 0.203 0.113 0.621
O 0.297 0.379 0.887
O 0.160 0.803 0.949
O 0.340 0.051 0.197
O 0.840 0.197 0.051
O 0.660 0.949 0.803

Calculated values
- energy relative to the elements, uncorrected (eV per atom) = -1.055
- electronic total energy (Ry per atom) = -0.386
- DOS(E_F) (states/eV per atom) = 0.33
- distance to the lowest polymorph of the same formula (meV/atom) = 10.8
- mass density (kg/m3) = 4551

---

Q: Among the records above, which one has the highest mass density?
A: La2IO2